An optimized crystal structure of Na2MgBr2Cl2. Source: the Alexandria database, functional PBE.

a b c (Å): 3.9250 7.1167 8.4334
angles (deg): 59.26 62.33 73.97
With the nearest neighbours (Å) after each atom.
Fractional positions:
Na (0.0053, 0.5902, 0.7013)  3 Cl 2.84-3.08, 3 Br 2.88-3.00
Na (0.9947, 0.4098, 0.2987)  3 Cl 2.84-3.08, 3 Br 2.88-3.00
Mg (0.0000, 0.0000, 0.0000)  2 Br 2.60, 4 Cl 2.64
Br (0.2856, 0.2053, 0.6111)  1 Mg 2.60, 2 Na 2.88
Br (0.7144, 0.7947, 0.3889)  1 Mg 2.60, 2 Na 2.88
Cl (0.3697, 0.2584, 0.0011)  2 Mg 2.64, 1 Na 2.84
Cl (0.6303, 0.7416, 0.9989)  2 Mg 2.64, 1 Na 2.84

Calculated values
Formation energy from raw total energies, eV per atom: -1.6173
Magnetization, Bohr magnetons per cell: 0.0

An optimized crystal structure of MgPBrCl2. Source: the Alexandria database, functional PBE.

a b c (Å): 4.5992 4.5992 8.7149
angles (deg): 90.00 90.00 90.00
With the nearest neighbours (Å) after each atom.
Fractional positions:
P (0.0000, 0.0000, 0.5000)  4 Br 3.25
Mg (0.0000, 0.0000, 0.0000)  4 Cl 2.30
Br (0.5000, 0.5000, 0.5000)  4 P 3.25
Cl (0.0000, 0.5000, 0.0000)  2 Mg 2.30
Cl (0.5000, 0.0000, 0.0000)  2 Mg 2.30

Calculated values
Formation energy from raw total energies, eV per atom: -0.3053
Offset from the most stable computed form, kJ per mole of atoms: 0.0
Magnetization, Bohr magnetons per cell: 2.0

An optimized crystal structure of MgP2BrCl. Source: the Alexandria database, functional PBE.

a b c (Å): 5.0667 5.0667 4.7055
angles (deg): 90.00 90.00 90.00
With the nearest neighbours (Å) after each atom.
Fractional positions:
P (0.0000, 0.5000, 0.0000)  2 Mg 2.53
P (0.5000, 0.0000, 0.0000)  2 Mg 2.53
Mg (0.0000, 0.0000, 0.0000)  2 Cl 2.35, 4 P 2.53
Br (0.5000, 0.5000, 0.5000)  8 P 3.46, 4 Cl 3.58
Cl (0.0000, 0.0000, 0.5000)  2 Mg 2.35

Calculated values
Formation energy from raw total energies, eV per atom: 0.4445
Offset from the most stable computed form, kJ per mole of atoms: 0.0
Magnetization, Bohr magnetons per cell: 1.2

An optimized crystal structure of MgPBrCl2. Source: the Alexandria database, functional PBE.

a b c (Å): 5.0906 5.0906 5.1937
angles (deg): 90.00 90.00 90.00
With the nearest neighbours (Å) after each atom.
Fractional positions:
P (0.0000, 0.0000, 0.5000)  2 Br 2.60
Mg (0.5000, 0.5000, 0.5000)  4 P 3.60, 8 Cl 3.64
Br (0.0000, 0.0000, 0.0000)  4 Cl 2.55, 2 P 2.60
Cl (0.0000, 0.5000, 0.0000)  2 Br 2.55
Cl (0.5000, 0.0000, 0.0000)  2 Br 2.55

Calculated values
Formation energy from raw total energies, eV per atom: 0.4628
Offset from the most stable computed form, kJ per mole of atoms: 74.1
Magnetization, Bohr magnetons per cell: 0.4

An optimized crystal structure of MgP2BrCl. Source: the Alexandria database, functional PBE.

a b c (Å): 4.9206 4.9206 5.1396
angles (deg): 90.00 90.00 90.00
With the nearest neighbours (Å) after each atom.
Fractional positions:
P (0.0000, 0.5000, 0.0000)  2 Br 2.46
P (0.5000, 0.0000, 0.0000)  2 Br 2.46
Mg (0.5000, 0.5000, 0.5000)  4 Cl 3.48, 8 P 3.56
Br (0.0000, 0.0000, 0.0000)  4 P 2.46, 2 Cl 2.57
Cl (0.0000, 0.0000, 0.5000)  2 Br 2.57

Calculated values
Formation energy from raw total energies, eV per atom: 0.8743
Offset from the most stable computed form, kJ per mole of atoms: 41.5
Magnetization, Bohr magnetons per cell: 0.0

An optimized crystal structure of MgPb3Br6Cl2. Source: the Alexandria database, functional PBE.

a b c (Å): 6.5445 8.4940 8.5379
angles (deg): 119.83 92.09 90.00
With the nearest neighbours (Å) after each atom.
Fractional positions:
Mg (0.5000, 0.0000, 0.0000)  6 Br 2.68-2.76
Pb (0.0000, 0.5000, 0.0000)  2 Cl 2.92, 4 Br 3.10
Pb (0.5000, 0.5000, 0.5000)  2 Cl 2.93, 4 Br 3.04-3.05
Pb (0.5000, 0.0000, 0.5000)  2 Cl 2.93, 4 Br 3.04-3.05
Br (0.7427, 0.3105, 0.1584)  1 Mg 2.76, 1 Pb 3.05
Br (0.2573, 0.6895, 0.8416)  1 Mg 2.76, 1 Pb 3.05
Br (0.7380, 0.8573, 0.7146)  1 Mg 2.68
Br (0.2620, 0.1427, 0.2854)  1 Mg 2.68
Br (0.2573, 0.1522, 0.8416)  1 Mg 2.76, 1 Pb 3.05
Br (0.7427, 0.8478, 0.1584)  1 Mg 2.76, 1 Pb 3.05
Cl (0.2426, 0.6703, 0.3405)  3 Pb 2.92-2.93
Cl (0.7574, 0.3297, 0.6595)  3 Pb 2.92-2.93

Calculated values
Formation energy from raw total energies, eV per atom: -1.0896
Magnetization, Bohr magnetons per cell: 0.0